1.
A plane-wave DFT calculation with PBE was carried out for a relaxed BaCaSbH2 crystal.

Its total energy is -0.2630 Ry per atom. Its total magnetic moment is 0.000 μB per cell.

The space group is Cmcm (No. 63) and the conventional cell measures 4.9112, 13.1499 and 7.3372 Å, with angles of 90.00, 90.00 and 90.00 degrees. Symmetry generates all atoms from Ba at (0.0000, 0.2238, 0.2500), Ca at (0.0000, 0.5000, 0.0000), Sb at (0.0000, 0.0533, 0.7500) and H at (0.0000, 0.3295, 0.5607).

***

2.
A plane-wave DFT calculation with PBE was carried out for a relaxed Ba2Ca2Sb2H crystal.

Its total energy is -0.2717 Ry per atom. Its total magnetic moment is 1.695 μB per cell.

The space group is I4/mmm (No. 139) and the conventional cell measures 4.9536, 4.9536 and 18.0715 Å, with angles of 90.00, 90.00 and 90.00 degrees. Symmetry generates all atoms from Ba at (0.0000, 0.0000, 0.1766), Ca at (0.0000, 0.5000, 0.0000), Sb at (0.0000, 0.0000, 0.3791) and H at (0.0000, 0.0000, 0.0000).

***

3.
A plane-wave DFT calculation with PBE was carried out for a relaxed BaCaH2Se crystal.

The energy relative to the lowest polymorph listed for this composition comes out at 0.0 meV/atom. Its total energy is -0.2920 Ry per atom. Its total magnetic moment is 0.000 μB per cell.

The space group is Cmcm (No. 63) and the conventional cell measures 4.1989, 12.8523 and 8.0286 Å, with angles of 90.00, 90.00 and 90.00 degrees. Symmetry generates all atoms from Ba at (0.0000, 0.2339, 0.2500), Ca at (0.0000, 0.5000, 0.0000), H at (0.0000, 0.3281, 0.5605) and Se at (0.0000, 0.0451, 0.7500).

***

4.
A plane-wave DFT calculation with PBE was carried out for a relaxed BaCaH2Se crystal.

The energy relative to the lowest polymorph listed for this composition comes out at 127.1 meV/atom. Its total energy is -0.2827 Ry per atom. Its total magnetic moment is 0.000 μB per cell.

The space group is P4/mmm (No. 123) and the conventional cell measures 4.6015, 4.6015 and 5.6972 Å, with angles of 90.00, 90.00 and 90.00 degrees. Symmetry generates all atoms from Ba at (0.0000, 0.0000, 0.0000), Ca at (0.5000, 0.5000, 0.5000), H at (0.0000, 0.5000, 0.5000) and Se at (0.5000, 0.5000, 0.0000).

***

5.
A plane-wave DFT calculation with PBE was carried out for a relaxed BaSrCa2H crystal.

The energy relative to the lowest polymorph listed for this composition comes out at 32.2 meV/atom. Its total energy is -0.1643 Ry per atom. Its total magnetic moment is 0.000 μB per cell.

The space group is P4/mmm (No. 123) and the conventional cell measures 5.7071, 5.7071 and 5.7678 Å, with angles of 90.00, 90.00 and 90.00 degrees. Symmetry generates all atoms from Ba at (0.0000, 0.0000, 0.0000), Sr at (0.5000, 0.5000, 0.0000), Ca at (0.0000, 0.5000, 0.5000) and H at (0.5000, 0.5000, 0.5000).

***

6.
A plane-wave DFT calculation with PBE was carried out for a relaxed BaSrCa2H crystal.

The energy relative to the lowest polymorph listed for this composition comes out at 0.0 meV/atom. Its total energy is -0.1666 Ry per atom. Its total magnetic moment is 0.000 μB per cell.

The space group is P4/mmm (No. 123) and the conventional cell measures 5.6279, 5.6279 and 5.9155 Å, with angles of 90.00, 90.00 and 90.00 degrees. Symmetry generates all atoms from Ba at (0.0000, 0.0000, 0.0000), Sr at (0.5000, 0.5000, 0.0000), Ca at (0.0000, 0.5000, 0.5000) and H at (0.0000, 0.0000, 0.5000).

***

7.
A plane-wave DFT calculation with PBE was carried out for a relaxed Ba2CaZnH crystal.

Its total energy is -0.1637 Ry per atom. Its total magnetic moment is 0.000 μB per cell.

The space group is P4/mmm (No. 123) and the conventional cell measures 5.8233, 5.8233 and 4.7164 Å, with angles of 90.00, 90.00 and 90.00 degrees. Symmetry generates all atoms from Ba at (0.0000, 0.5000, 0.0000), Ca at (0.0000, 0.0000, 0.5000), Zn at (0.5000, 0.5000, 0.5000) and H at (0.0000, 0.0000, 0.0000).

***

8.
A plane-wave DFT calculation with PBE was carried out for a relaxed BaCa2ZnH crystal.

Its total energy is -0.1637 Ry per atom. Its total magnetic moment is 0.000 μB per cell.

The space group is P4/mmm (No. 123) and the conventional cell measures 5.0697, 5.0697 and 5.5147 Å, with angles of 90.00, 90.00 and 90.00 degrees. Symmetry generates all atoms from Ba at (0.0000, 0.0000, 0.0000), Ca at (0.0000, 0.5000, 0.5000), Zn at (0.5000, 0.5000, 0.0000) and H at (0.0000, 0.0000, 0.5000).

***

9.
A plane-wave DFT calculation with PBE was carried out for a relaxed BaCaZn2H8 crystal.

Its total energy is -0.2251 Ry per atom. Its total magnetic moment is 0.000 μB per cell.

The space group is P-3 (No. 147) and the conventional cell measures 4.9387, 4.9387 and 7.9875 Å, with angles of 90.00, 90.00 and 120.00 degrees. Symmetry generates all atoms from Ba at (0.0000, 0.0000, 0.0000), Ca at (0.0000, 0.0000, 0.5000), Zn at (0.3333, 0.6667, 0.7509), H at (0.0288, 0.3336, 0.6969) and H at (0.3333, 0.6667, 0.9592).

***

10.
A plane-wave DFT calculation with PBE was carried out for a relaxed BaCa3Hf crystal.

The energy relative to the lowest polymorph listed for this composition comes out at 699.8 meV/atom. The energy of formation comes out at 1362 meV/atom. Its total energy is -0.1627 Ry per atom. Its total magnetic moment is 0.000 μB per cell.

The space group is Pm-3m (No. 221) and the conventional cell measures 5.7108, 5.7108 and 5.7108 Å, with angles of 90.00, 90.00 and 90.00 degrees. Symmetry generates all atoms from Ba at (0.0000, 0.0000, 0.0000), Ca at (0.0000, 0.0000, 0.5000) and Hf at (0.5000, 0.5000, 0.5000).

***

11.
A plane-wave DFT calculation with PBE was carried out for a relaxed BaCa2Hf crystal.

The energy relative to the lowest polymorph listed for this composition comes out at 262.5 meV/atom. The energy of formation comes out at 819 meV/atom. Its total energy is -0.2316 Ry per atom. Its total magnetic moment is 7.972 μB per cell.

The space group is I-42d (No. 122) and the conventional cell measures 4.9710, 4.9710 and 25.0975 Å, with angles of 90.00, 90.00 and 90.00 degrees. Symmetry generates all atoms from Ba at (0.0000, 0.0000, 0.0000), Ca at (0.2303, 0.2500, 0.6250) and Hf at (0.0000, 0.0000, 0.5000).

***

12.
A plane-wave DFT calculation with PBE was carried out for a relaxed BaCa2Hf crystal.

The energy relative to the lowest polymorph listed for this composition comes out at 0.0 meV/atom. The energy of formation comes out at 556 meV/atom. Its total energy is -0.2509 Ry per atom. Its total magnetic moment is 0.000 μB per cell.

The space group is Fm-3m (No. 225) and the conventional cell measures 8.3725, 8.3725 and 8.3725 Å, with angles of 90.00, 90.00 and 90.00 degrees. Symmetry generates all atoms from Ba at (0.0000, 0.0000, 0.0000), Ca at (0.2500, 0.2500, 0.2500) and Hf at (0.0000, 0.0000, 0.5000).

***

13.
A plane-wave DFT calculation with PBE was carried out for a relaxed BaCaHf crystal.

The energy relative to the lowest polymorph listed for this composition comes out at 8.8 meV/atom. The energy of formation comes out at 314 meV/atom. Its total energy is -0.3169 Ry per atom. Its total magnetic moment is 0.000 μB per cell.

The space group is P1 (No. 1) and the conventional cell measures 3.5933, 3.5941 and 17.2367 Å, with angles of 90.08, 90.04 and 90.00 degrees. Symmetry generates all atoms from Ba at (0.0000, 0.0000, 0.0000), Ba at (0.4923, 0.4883, 0.2156), Ca at (0.4977, 0.4956, 0.5862), Ca at (0.9956, 0.9933, 0.4100), Hf at (0.4985, 0.4980, 0.8320) and Hf at (0.9982, 0.9972, 0.7331).